First-principles (PBE) data for a relaxed structure of AgB, as listed in the Open Quantum Materials Database.

Structure (POSCAR):
```
AgB
1.0
2.928 0.000 0.000
-1.464 2.536 0.000
0.000 0.000 3.355
Ag B
1 1
direct
0.000 0.000 0.000
0.667 0.333 0.500
```

raw total energy = -3.466 eV per atom
relative energy among the computed polymorphs = 0 meV per atom